[1]
The following is a GGA-PBEsol calculation of a relaxed structure of YZr2Se, from Alexandria.

Unit cell a=4.1255 b=4.1255 c=5.9201 alpha=110.39 beta=110.39 gamma=90.00
Atoms (fractional coordinates):
Zr: 0.7500 0.2500 0.5000
Zr: 0.2500 0.7500 0.5000
Se: 0.5000 0.5000 0.0000
Y: 0.0000 0.0000 0.0000

Values from the calculation:
- DOS(E_F) (states/eV/f.u.) = 6.0
- magnetization (Bohr magnetons per cell) = 0.00
- electronic total energy (eV for the cell shown) = -30.17
- formation energy without anion corrections (meV per atom) = -329

***

[2]
The following is a GGA-PBEsol calculation of a relaxed structure of MgTc2W, from Alexandria.

Unit cell a=3.0811 b=4.3869 c=4.3869 alpha=90.00 beta=90.00 gamma=90.00
Atoms (fractional coordinates):
W: 0.5000 0.5000 0.5000
Tc: 0.0000 0.0000 0.5000
Tc: 0.0000 0.5000 0.0000
Mg: 0.5000 0.0000 0.0000

Values from the calculation:
- DOS(E_F) (states/eV/f.u.) = 3.8
- magnetization (Bohr magnetons per cell) = 0.00
- electronic total energy (eV for the cell shown) = -37.16
- formation enthalpy at 0 K (eV/atom) = 0.225

***

[3]
The following is a GGA-PBEsol calculation of a relaxed structure of NbBiSN2, from Alexandria.

Unit cell a=4.1975 b=4.1975 c=5.0698 alpha=90.00 beta=90.00 gamma=90.00
Atoms (fractional coordinates):
Nb: 0.5000 0.5000 0.5000
N: 0.0000 0.5000 0.0000
N: 0.5000 0.0000 0.0000
S: 0.0000 0.0000 0.5000
Bi: 0.0000 0.0000 0.0000

Values from the calculation:
- DOS(E_F) (states/eV/f.u.) = 4.5
- magnetization (Bohr magnetons per cell) = 1.56
- electronic total energy (eV for the cell shown) = -28.45
- formation energy without anion corrections (meV per atom) = 1619

***

[4]
The following is a GGA-PBEsol calculation of a relaxed structure of CoTeP2, from Alexandria.

Unit cell a=2.8799 b=2.8799 c=8.4222 alpha=90.00 beta=90.00 gamma=90.00
Atoms (fractional coordinates):
P: 0.0000 0.0000 0.3543
P: 0.0000 0.0000 0.6457
Te: 0.5000 0.5000 0.0000
Co: 0.5000 0.5000 0.5000

Values from the calculation:
- DOS(E_F) (states/eV/f.u.) = 3.2
- magnetization (Bohr magnetons per cell) = 0.00
- electronic total energy (eV for the cell shown) = -22.65
- formation energy without anion corrections (meV per atom) = 50

***

[5]
The following is a GGA-PBEsol calculation of a relaxed structure of K5ThP3S12, from Alexandria.

Unit cell a=9.5250 b=11.6672 c=19.8452 alpha=90.00 beta=89.67 gamma=90.00
Atoms (fractional coordinates):
K: 0.8718 0.6309 0.4218
K: 0.8555 0.8930 0.5824
K: 0.3292 0.6136 0.7493
K: 0.6849 0.3869 0.5974
K: 0.1235 0.3474 0.2575
K: 0.1445 0.1070 0.4176
K: 0.3718 0.8691 0.9218
K: 0.6708 0.3864 0.2507
K: 0.8151 0.8869 0.9026
K: 0.1849 0.1131 0.0974
K: 0.3555 0.6070 0.0824
K: 0.1708 0.1136 0.7507
K: 0.6445 0.3930 0.9176
K: 0.8292 0.8864 0.2493
K: 0.6282 0.1309 0.0782
K: 0.3765 0.8474 0.2425
K: 0.1282 0.3691 0.5782
K: 0.3151 0.6131 0.4026
K: 0.8765 0.6526 0.7425
K: 0.6235 0.1526 0.7575
P: 0.4034 0.1643 0.2615
P: 0.3774 0.1888 0.9214
P: 0.9019 0.3368 0.0816
P: 0.1226 0.6888 0.5786
P: 0.4019 0.1632 0.5816
P: 0.0966 0.6643 0.2385
P: 0.5981 0.8368 0.4184
P: 0.0981 0.6632 0.9184
P: 0.6226 0.8112 0.0786
P: 0.8774 0.3112 0.4214
P: 0.5966 0.8357 0.7385
P: 0.9034 0.3357 0.7615
S: 0.9426 0.5998 0.5814
S: 0.1921 0.0996 0.9260
S: 0.0903 0.7770 0.1576
S: 0.0758 0.7551 0.3243
S: 0.9267 0.5600 0.2170
S: 0.2808 0.5779 0.2384
S: 0.0733 0.4400 0.7830
S: 0.6393 0.7008 0.9980
S: 0.6112 0.7437 0.5057
S: 0.8607 0.2008 0.5020
S: 0.8888 0.2437 0.9943
S: 0.8079 0.9004 0.0740
S: 0.3888 0.2563 0.4943
S: 0.4207 0.9378 0.4325
S: 0.5574 0.0998 0.9186
S: 0.7708 0.9426 0.4154
S: 0.1112 0.7563 0.0057
S: 0.9242 0.2449 0.6757
S: 0.5944 0.7334 0.3383
S: 0.0793 0.4378 0.0675
S: 0.5793 0.0622 0.5675
S: 0.9207 0.5622 0.9325
S: 0.4426 0.9002 0.0814
S: 0.1463 0.7932 0.6613
S: 0.3537 0.2932 0.8387
S: 0.0944 0.7666 0.8383
S: 0.9056 0.2334 0.1617
S: 0.5758 0.7449 0.8243
S: 0.5733 0.0600 0.2830
S: 0.6463 0.7068 0.1613
S: 0.4267 0.9400 0.7170
S: 0.1393 0.7992 0.4980
S: 0.8537 0.2068 0.3387
S: 0.3607 0.2992 0.0020
S: 0.9097 0.2230 0.8424
S: 0.2292 0.0574 0.5846
S: 0.4056 0.2666 0.6617
S: 0.5903 0.7230 0.6576
S: 0.4242 0.2551 0.1757
S: 0.3079 0.5996 0.5740
S: 0.2708 0.5574 0.9154
S: 0.7808 0.9221 0.7384
S: 0.6921 0.4004 0.4260
S: 0.4097 0.2770 0.3424
S: 0.7292 0.4426 0.0846
S: 0.2192 0.0779 0.2616
S: 0.0574 0.4002 0.4186
S: 0.7192 0.4221 0.7616
Th: 0.3934 0.8539 0.5804
Th: 0.6066 0.1461 0.4196
Th: 0.1066 0.3539 0.9196
Th: 0.8934 0.6461 0.0804

Values from the calculation:
- DOS(E_F) (states/eV/f.u.) = 0.0
- magnetization (Bohr magnetons per cell) = 0.00
- electronic total energy (eV for the cell shown) = -421.95
- formation energy without anion corrections (meV per atom) = -1035

***

[6]
The following is a GGA-PBEsol calculation of a relaxed structure of Co3SbRh, from Alexandria.

Unit cell a=4.4602 b=4.4602 c=4.4602 alpha=90.00 beta=90.00 gamma=90.00
Atoms (fractional coordinates):
Co: 0.0000 0.0000 0.5000
Co: 0.0000 0.5000 0.0000
Co: 0.5000 0.0000 0.0000
Rh: 0.0000 0.0000 0.0000
Sb: 0.5000 0.5000 0.5000

Values from the calculation:
- DOS(E_F) (states/eV/f.u.) = 6.6
- magnetization (Bohr magnetons per cell) = 6.52
- electronic total energy (eV for the cell shown) = -29.73
- formation energy without anion corrections (meV per atom) = 1236

***

[7]
The following is a GGA-PBEsol calculation of a relaxed structure of KIr3I, from Alexandria.

Unit cell a=4.9002 b=4.9002 c=4.9002 alpha=90.00 beta=90.00 gamma=90.00
Atoms (fractional coordinates):
I: 0.0000 0.0000 0.0000
Ir: 0.0000 0.0000 0.5000
Ir: 0.0000 0.5000 0.0000
Ir: 0.5000 0.0000 0.0000
K: 0.5000 0.5000 0.5000

Values from the calculation:
- DOS(E_F) (states/eV/f.u.) = 7.1
- magnetization (Bohr magnetons per cell) = 0.00
- electronic total energy (eV for the cell shown) = -23.43
- formation energy without anion corrections (meV per atom) = 1788

***

[8]
The following is a GGA-PBEsol calculation of a relaxed structure of Li3MnO2F2, from Alexandria.

Unit cell a=2.7907 b=5.2067 c=5.2067 alpha=113.90 beta=90.00 gamma=90.00
Atoms (fractional coordinates):
F: 0.0000 0.7628 0.2372
F: 0.0000 0.2372 0.7628
O: 0.5000 0.7273 0.7273
O: 0.5000 0.2727 0.2727
Mn: 0.0000 0.5000 0.5000
Li: 0.5000 0.0000 0.5000
Li: 0.0000 0.0000 0.0000
Li: 0.5000 0.5000 0.0000

Values from the calculation:
- magnetization (Bohr magnetons per cell) = 4.00
- electronic total energy (eV for the cell shown) = -48.95
- formation energy without anion corrections (meV per atom) = -2367

***

[9]
The following is a GGA-PBEsol calculation of a relaxed structure of LiAl2Ag, from Alexandria.

Unit cell a=3.0143 b=4.6036 c=5.3642 alpha=115.41 beta=106.32 gamma=90.00
Atoms (fractional coordinates):
Ag: 0.0000 0.5000 0.0000
Li: 0.5000 0.0000 0.0000
Al: 0.2613 0.2613 0.5225
Al: 0.7387 0.7387 0.4775

Values from the calculation:
- DOS(E_F) (states/eV/f.u.) = 1.1
- magnetization (Bohr magnetons per cell) = 0.00
- electronic total energy (eV for the cell shown) = -13.87
- formation enthalpy at 0 K (eV/atom) = -0.102

***

[10]
The following is a GGA-PBEsol calculation of a relaxed structure of TaMnOs3, from Alexandria.

Unit cell a=4.6846 b=4.6846 c=4.6846 alpha=90.00 beta=90.00 gamma=90.00
Atoms (fractional coordinates):
Mn: 0.5000 0.5000 0.5000
Ta: 0.0000 0.0000 0.0000
Os: 0.0000 0.0000 0.5000
Os: 0.5000 0.0000 0.0000
Os: 0.0000 0.5000 0.0000

Values from the calculation:
- DOS(E_F) (states/eV/f.u.) = 6.5
- magnetization (Bohr magnetons per cell) = 3.68
- electronic total energy (eV for the cell shown) = -47.07
- formation enthalpy at 0 K (eV/atom) = 2.378

***

[11]
The following is a GGA-PBEsol calculation of a relaxed structure of Zr15VO32, from Alexandria.

Unit cell a=5.1899 b=10.2127 c=10.5661 alpha=99.61 beta=90.13 gamma=90.13
Atoms (fractional coordinates):
O: 0.7570 0.2237 0.7388
O: 0.7428 0.2235 0.9905
O: 0.6663 0.4663 0.3295
O: 0.3346 0.5348 0.1711
O: 0.7413 0.7254 0.4888
O: 0.1611 0.5365 0.9205
O: 0.2423 0.7778 0.2603
O: 0.8388 0.9659 0.5757
O: 0.2546 0.7771 0.5088
O: 0.8341 0.4659 0.0799
O: 0.2412 0.2762 0.7603
O: 0.7598 0.2233 0.2400
O: 0.3409 0.0392 0.1809
O: 0.7271 0.2170 0.4845
O: 0.2537 0.2731 0.5076
O: 0.8388 0.4597 0.5791
O: 0.7564 0.7310 0.2415
O: 0.8388 0.9647 0.0804
O: 0.1734 0.0330 0.9258
O: 0.6665 0.9799 0.3317
O: 0.2530 0.2692 0.2654
O: 0.7430 0.7244 0.9897
O: 0.6702 0.9665 0.8274
O: 0.2430 0.7756 0.7589
O: 0.7573 0.7235 0.7387
O: 0.1605 0.5334 0.4197
O: 0.6608 0.4638 0.8286
O: 0.3316 0.0344 0.6716
O: 0.2599 0.7773 0.0106
O: 0.3377 0.5345 0.6684
O: 0.1840 0.0393 0.4172
O: 0.2558 0.2768 0.0123
Zr: 0.0423 0.6395 0.1050
Zr: 0.5423 0.8639 0.1466
Zr: 0.5393 0.3581 0.6415
Zr: 0.4582 0.6379 0.8536
Zr: 0.9533 0.3544 0.3942
Zr: 0.4565 0.1390 0.8553
Zr: 0.9556 0.8650 0.3942
Zr: 0.5430 0.8619 0.6443
Zr: 0.9590 0.8607 0.8950
Zr: 0.0417 0.1411 0.6041
Zr: 0.0415 0.6368 0.6027
Zr: 0.9546 0.3620 0.8957
Zr: 0.5436 0.3594 0.1483
Zr: 0.0438 0.1397 0.1083
Zr: 0.4531 0.6372 0.3550
V: 0.4460 0.1306 0.3521

Values from the calculation:
- DOS(E_F) (states/eV/f.u.) = 3.9
- magnetization (Bohr magnetons per cell) = 1.00
- electronic total energy (eV for the cell shown) = -477.25
- formation energy without anion corrections (meV per atom) = -3402

***

[12]
The following is a GGA-PBEsol calculation of a relaxed structure of K2BeSb, from Alexandria.

Unit cell a=4.5322 b=4.5322 c=5.2944 alpha=90.00 beta=90.00 gamma=90.00
Atoms (fractional coordinates):
Sb: 0.5000 0.5000 0.5000
K: 0.5000 0.0000 0.0000
K: 0.0000 0.5000 0.0000
Be: 0.0000 0.0000 0.5000

Values from the calculation:
- DOS(E_F) (states/eV/f.u.) = 2.0
- magnetization (Bohr magnetons per cell) = 0.36
- electronic total energy (eV for the cell shown) = -9.21
- formation energy without anion corrections (meV per atom) = 404